No. 1
# ScBeTl | Alexandria | PBE-GGA | optimized geometry
# energy relative to the elements: -0.1 eV per formula unit
# energy above the lowest structure with this stoichiometry: 40.5 meV/atom
# density of states at the Fermi level: 2.2 states/eV/f.u.
data_ScBeTl
_chemical_formula_sum 'Sc2 Be2 Tl2'
_space_group_name_H-M_alt 'P -1'
_space_group_IT_number 2
_cell_length_a 4.001
_cell_length_b 5.567
_cell_length_c 5.837
_cell_angle_alpha 73.33
_cell_angle_beta 69.96
_cell_angle_gamma 68.94
loop_
_space_group_symop_operation_xyz
'x,y,z'
'-x,-y,-z'
loop_
_atom_site_label
_atom_site_fract_x
_atom_site_fract_y
_atom_site_fract_z
Sc1 0.068 0.193 0.171
Be1 0.375 0.591 0.157
Tl1 0.315 0.260 0.609

No. 2
# Pu2SnSb3 | Alexandria | PBE-GGA | optimized geometry
# density of states at the Fermi level: 30.8 states/eV/f.u.
# raw formation energy: -294 meV per atom
data_Pu2SnSb3
_chemical_formula_sum 'Pu8 Sn4 Sb12'
_space_group_name_H-M_alt 'C 1 2/c 1'
_space_group_IT_number 15
_cell_length_a 14.301
_cell_length_b 6.261
_cell_length_c 8.789
_cell_angle_alpha 90.00
_cell_angle_beta 107.89
_cell_angle_gamma 90.00
loop_
_space_group_symop_operation_xyz
'x,y,z'
'-x,-y,-z'
'-x,y,-z+1/2'
'x,-y,z+1/2'
'x+1/2,y+1/2,z'
'-x+1/2,-y+1/2,-z'
'-x+1/2,y+1/2,-z+1/2'
'x+1/2,-y+1/2,z+1/2'
loop_
_atom_site_label
_atom_site_fract_x
_atom_site_fract_y
_atom_site_fract_z
Pu1 0.163 0.000 0.082
Sn1 0.000 0.497 0.250
Sb1 0.000 0.002 0.750
Sb2 0.174 0.500 0.087

No. 3
# VP2S6 | Alexandria | PBE-GGA | optimized geometry
# energy above the lowest structure with this stoichiometry: 0.0 meV/atom
# density of states at the Fermi level: 5.5 states/eV/f.u.
# raw formation energy: -367 meV per atom
data_VP2S6
_chemical_formula_sum 'V3 P6 S18'
_space_group_name_H-M_alt 'R 3'
_space_group_IT_number 146
_space_group_name_Hall 'R 3'
_cell_length_a 6.0459
_cell_length_b 6.0459
_cell_length_c 21.2133
_cell_angle_alpha 90.00
_cell_angle_beta 90.00
_cell_angle_gamma 120.00
loop_
_atom_site_label
_atom_site_fract_x
_atom_site_fract_y
_atom_site_fract_z
V1 0.0000 0.0000 0.0000
P1 0.0000 0.0000 0.6157
P2 0.0000 0.0000 0.7176
S1 0.0575 0.3520 0.5907
S2 0.0578 0.7057 0.7426

No. 4
# Sm3HoTm8 | Alexandria | PBE-GGA | optimized geometry
# energy relative to the elements: 3.7 eV per formula unit
# density of states at the Fermi level: 17.1 states/eV/f.u.
data_Sm3HoTm8
_chemical_formula_sum 'Sm6 Ho2 Tm16'
_space_group_name_H-M_alt 'I m m m'
_space_group_IT_number 71
_space_group_name_Hall '-I 2 2'
_cell_length_a 6.373
_cell_length_b 11.165
_cell_length_c 11.299
_cell_angle_alpha 90.00
_cell_angle_beta 90.00
_cell_angle_gamma 90.00
loop_
_atom_site_label
_atom_site_fract_x
_atom_site_fract_y
_atom_site_fract_z
Sm1 0.000 0.000 0.000
Sm2 0.000 0.500 0.248
Ho1 0.000 0.000 0.500
Tm1 0.000 0.169 0.251
Tm2 0.249 0.253 0.000

No. 5
# HgAu2Br | Alexandria | PBE-GGA | optimized geometry
# energy above the lowest structure with this stoichiometry: 234.2 meV/atom
# density of states at the Fermi level: 1.3 states/eV/f.u.
# raw formation energy: 251 meV per atom
data_HgAu2Br
_chemical_formula_sum 'Hg4 Au8 Br4'
_space_group_name_H-M_alt 'I -4 2 d'
_space_group_IT_number 122
_space_group_name_Hall 'I -4 2bw'
_cell_length_a 7.763
_cell_length_b 7.763
_cell_length_c 6.195
_cell_angle_alpha 90.00
_cell_angle_beta 90.00
_cell_angle_gamma 90.00
loop_
_atom_site_label
_atom_site_fract_x
_atom_site_fract_y
_atom_site_fract_z
Hg1 0.000 0.000 0.000
Au1 0.246 0.250 0.125
Br1 0.000 0.000 0.500

No. 6
# LiErNiPt | Alexandria | PBE-GGA | optimized geometry
# energy relative to the elements: -2.3 eV per formula unit
# density of states at the Fermi level: 1.1 states/eV/f.u.
data_LiErNiPt
_chemical_formula_sum 'Li4 Er4 Ni4 Pt4'
_space_group_name_H-M_alt 'F -4 3 m'
_space_group_IT_number 216
_space_group_name_Hall 'F -4 2 3'
_cell_length_a 6.452
_cell_length_b 6.452
_cell_length_c 6.452
_cell_angle_alpha 90.00
_cell_angle_beta 90.00
_cell_angle_gamma 90.00
loop_
_atom_site_label
_atom_site_fract_x
_atom_site_fract_y
_atom_site_fract_z
Li1 0.000 0.000 0.000
Er1 0.000 0.000 0.500
Ni1 0.250 0.250 0.750
Pt1 0.250 0.250 0.250